# La4TmMg

Crystalline La4TmMg at its relaxed geometry (PBE, Alexandria via LeMat-Bulk).

Cell lengths 6.279, 6.279, 12.252 Å; angles 104.84, 104.84, 60.19 degrees
Fractional coordinates of all 12 atoms:
1 La 0.593 0.746 0.749
2 La 0.681 0.158 0.003
3 La 0.746 0.593 0.249
4 La 0.842 0.319 0.497
5 La 0.407 0.254 0.251
6 La 0.158 0.681 0.503
7 La 0.319 0.842 0.997
8 La 0.254 0.407 0.751
9 Mg 0.087 0.913 0.250
10 Mg 0.913 0.087 0.750
11 Tm 0.500 0.000 0.500
12 Tm 0.000 0.500 0.000

Calculated values
density of states at the Fermi level	1.368	states/eV/atom
relative energy among the computed polymorphs	0.018	eV/atom
total DFT energy (no corrections)	-51.56	eV for the cell shown
ΔE_f	0.00	eV/atom

---

# K3In6SnPb2

Crystalline K3In6SnPb2 at its relaxed geometry (PBE, Alexandria via LeMat-Bulk).

Cell lengths 6.245, 6.245, 11.701 Å; angles 90.00, 90.00, 120.00 degrees
Fractional coordinates of all 12 atoms:
1 K 0.333 0.667 0.554
2 K 0.000 0.000 0.000
3 K 0.667 0.333 0.446
4 Sn 0.000 0.000 0.500
5 Pb 0.333 0.667 0.870
6 Pb 0.667 0.333 0.130
7 In 0.168 0.832 0.266
8 In 0.832 0.168 0.734
9 In 0.168 0.336 0.266
10 In 0.664 0.832 0.266
11 In 0.336 0.168 0.734
12 In 0.832 0.664 0.734

Calculated values
density of states at the Fermi level	0.571	states/eV/atom
total DFT energy (no corrections)	-31.67	eV for the cell shown
ΔE_f	-0.04	eV/atom

---

# Na2Zn3PtAu12

Crystalline Na2Zn3PtAu12 at its relaxed geometry (PBE, Alexandria via LeMat-Bulk).

Cell lengths 8.405, 8.405, 8.405 Å; angles 58.33, 58.33, 58.33 degrees
Fractional coordinates of all 18 atoms:
1 Au 0.607 0.131 0.131
2 Au 0.135 0.621 0.621
3 Au 0.869 0.869 0.393
4 Au 0.379 0.865 0.379
5 Au 0.621 0.621 0.135
6 Au 0.131 0.131 0.607
7 Au 0.131 0.607 0.131
8 Au 0.379 0.379 0.865
9 Au 0.869 0.393 0.869
10 Au 0.865 0.379 0.379
11 Au 0.393 0.869 0.869
12 Au 0.621 0.135 0.621
13 Na 0.375 0.375 0.375
14 Na 0.625 0.625 0.625
15 Zn 0.500 0.000 0.000
16 Zn 0.000 0.500 0.000
17 Zn 0.000 0.000 0.500
18 Pt 0.000 0.000 0.000

Calculated values
density of states at the Fermi level	0.318	states/eV/atom
total DFT energy (no corrections)	-50.33	eV for the cell shown
ΔE_f	0.08	eV/atom

---

# La2YSi

Crystalline La2YSi at its relaxed geometry (PBE, Alexandria via LeMat-Bulk).

Cell lengths 6.051, 6.051, 6.051 Å; angles 134.49, 134.49, 66.33 degrees
Fractional coordinates of all 4 atoms:
1 La 0.500 0.500 0.000
2 La 0.000 0.000 0.000
3 Si 0.250 0.750 0.500
4 Y 0.750 0.250 0.500

Calculated values
density of states at the Fermi level	1.411	states/eV/atom
total DFT energy (no corrections)	-22.54	eV for the cell shown
ΔE_f (raw)	-0.199	eV/atom

---

We obtain calculated density values of 6.2; 5.6; 11.5; 5.9 g cm⁻³ for the records listed above, in that order.